Record 1
# Tm3Zr2Sc2 | Alexandria | GGA-PBE | relaxed
data_Tm3Zr2Sc2
_symmetry_space_group_name_H-M 'P 1'
_symmetry_Int_Tables_number 1
_symmetry_space_group_name_Hall 'P 1'
_cell_length_a 7.8570
_cell_length_b 7.8570
_cell_length_c 7.8570
_cell_angle_alpha 109.47
_cell_angle_beta 109.47
_cell_angle_gamma 109.47
loop_
_atom_site_label
_atom_site_fract_x
_atom_site_fract_y
_atom_site_fract_z
Tm1 0.6741 0.7500 0.9241
Tm2 0.8259 0.2500 0.5759
Tm3 0.0759 0.3259 0.2500
Tm4 0.4241 0.1741 0.7500
Tm5 0.2500 0.9241 0.1741
Tm6 0.7500 0.5759 0.3259
Zr1 0.0000 0.0000 0.8046
Zr2 0.5000 0.8046 0.5000
Zr3 0.1954 0.6954 0.6954
Zr4 0.3046 0.5000 0.0000
Sc1 0.0000 0.0000 0.4044
Sc2 0.5000 0.4044 0.5000
Sc3 0.5956 0.0956 0.0956
Sc4 0.9044 0.5000 0.0000
# E_form ... 29.3 kJ per mole of atoms
# Magnetic moment ... 0.000 μB/atom
# Uncorrected energy ... -5.864 eV per atom
# Calculated volume ... 373 Å³/cell

Record 2
# CdBi3Pt3 | Alexandria | GGA-PBE | relaxed
data_CdBi3Pt3
_symmetry_space_group_name_H-M 'P 1'
_symmetry_Int_Tables_number 1
_symmetry_space_group_name_Hall 'P 1'
_cell_length_a 7.4270
_cell_length_b 7.4270
_cell_length_c 7.4270
_cell_angle_alpha 68.10
_cell_angle_beta 68.10
_cell_angle_gamma 68.10
loop_
_atom_site_label
_atom_site_fract_x
_atom_site_fract_y
_atom_site_fract_z
Cd1 0.3382 0.3382 0.3382
Cd2 0.6618 0.6618 0.6618
Bi1 0.8222 0.3625 0.1103
Bi2 0.1103 0.8222 0.3625
Bi3 0.3625 0.1103 0.8222
Bi4 0.6375 0.8897 0.1778
Bi5 0.8897 0.1778 0.6375
Bi6 0.1778 0.6375 0.8897
Pt1 0.5311 0.3208 0.9404
Pt2 0.3208 0.9404 0.5311
Pt3 0.9404 0.5311 0.3208
Pt4 0.0596 0.4689 0.6792
Pt5 0.6792 0.0596 0.4689
Pt6 0.4689 0.6792 0.0596
# E_form ... -19.4 kJ per mole of atoms
# Magnetic moment ... 0.000 μB/atom
# Uncorrected energy ... -4.584 eV per atom
# Calculated volume ... 339 Å³/cell

Record 3
# GaFe3Ge | Alexandria | GGA-PBE | relaxed
data_GaFe3Ge
_symmetry_space_group_name_H-M 'P 1'
_symmetry_Int_Tables_number 1
_symmetry_space_group_name_Hall 'P 1'
_cell_length_a 4.4261
_cell_length_b 4.4261
_cell_length_c 4.4261
_cell_angle_alpha 90.00
_cell_angle_beta 90.00
_cell_angle_gamma 90.00
loop_
_atom_site_label
_atom_site_fract_x
_atom_site_fract_y
_atom_site_fract_z
Ge1 0.0000 0.0000 0.0000
Fe1 0.0000 0.5000 0.0000
Fe2 0.0000 0.0000 0.5000
Fe3 0.5000 0.0000 0.0000
Ga1 0.5000 0.5000 0.5000
# E_form ... 79.3 kJ per mole of atoms
# Magnetic moment ... 1.419 μB/atom
# Uncorrected energy ... -5.784 eV per atom
# Calculated volume ... 87 Å³/cell